1.
## TbAg2F6 (PBE)

Data for a geometry-optimized TbAg2F6 structure.

a = 7.0709 Å, b = 7.0709 Å, c = 7.0709 Å
α = 148.93°, β = 133.58°, γ = 56.91°
With the nearest neighbours (Å) after each atom.
Element x y z (fractional)
Tb 0.0000 0.0000 0.0000  8 F 2.28-2.35
Ag 0.3317 0.3317 0.0000  8 F 2.36-2.62
Ag 0.6683 0.6683 0.0000  8 F 2.36-2.62
F 0.0959 0.8472 0.2487  1 Tb 2.35, 3 Ag 2.36-2.62
F 0.2263 0.5000 0.7263  2 Tb 2.28, 1 F 2.52
F 0.4014 0.1528 0.2487  1 Tb 2.35, 3 Ag 2.36-2.62
F 0.5986 0.8472 0.7513  1 Tb 2.35, 3 Ag 2.36-2.62
F 0.7737 0.5000 0.2737  2 Tb 2.28, 1 F 2.52
F 0.9041 0.1528 0.7513  1 Tb 2.35, 3 Ag 2.36-2.62

Computed properties:
Fermi-level density of states ... 0.53 states/eV/atom
Volume ... 131.2 Å³ per cell
E_tot ... -4.81 eV per atom
Symmetry ... No. 71

2.
## PuZrN (PBE)

Data for a geometry-optimized PuZrN structure.

a = 3.2972 Å, b = 3.2972 Å, c = 5.8465 Å
α = 90.00°, β = 90.00°, γ = 120.00°
With the nearest neighbours (Å) after each atom.
Element x y z (fractional)
Pu 0.0000 0.0000 0.0000  3 N 2.41
Zr 0.3333 0.6667 0.4663  3 N 2.28
N 0.6667 0.3333 0.2525  3 Zr 2.28, 3 Pu 2.41

Computed properties:
Fermi-level density of states ... 1.58 states/eV/atom
Volume ... 55.0 Å³ per cell
E_tot ... -11.26 eV per atom
Symmetry ... No. 156

3.
## U3P3S (PBE)

Data for a geometry-optimized U3P3S structure.

a = 5.4482 Å, b = 5.4482 Å, c = 5.4482 Å
α = 90.00°, β = 90.00°, γ = 90.00°
With the nearest neighbours (Å) after each atom.
Element x y z (fractional)
U 0.0000 0.0000 0.5000  4 P 2.72, 2 S 2.72
U 0.0000 0.5000 0.0000  4 P 2.72, 2 S 2.72
U 0.5000 0.0000 0.0000  4 P 2.72, 2 S 2.72
P 0.0000 0.5000 0.5000  4 U 2.72
P 0.5000 0.0000 0.5000  4 U 2.72
P 0.5000 0.5000 0.0000  4 U 2.72
S 0.0000 0.0000 0.0000  6 U 2.72

Computed properties:
Fermi-level density of states ... 1.81 states/eV/atom
Volume ... 161.7 Å³ per cell
E_tot ... -8.49 eV per atom
Symmetry ... No. 221

4.
## CeY8Ho2 (PBE)

Data for a geometry-optimized CeY8Ho2 structure.

a = 9.4421 Å, b = 9.4421 Å, c = 7.9713 Å
α = 104.66°, β = 104.66°, γ = 30.97°
With the nearest neighbours (Å) after each atom.
Element x y z (fractional)
Ce 0.0000 0.0000 0.0000  12 Y 3.55-3.57
Y 0.0913 0.0913 0.4544  3 Ho 3.54-3.57, 8 Y 3.56-3.59, 1 Ce 3.57
Y 0.1808 0.1808 0.9083  8 Y 3.55-3.59, 1 Ce 3.55, 3 Ho 3.58
Y 0.3634 0.3634 0.8176  7 Y 3.55-3.58, 3 Ho 3.55-3.56, 2 Ce 3.57
Y 0.4547 0.4547 0.2694  2 Ce 3.55, 9 Y 3.55-3.61, 1 Ho 3.61
Y 0.5453 0.5453 0.7306  2 Ce 3.55, 9 Y 3.55-3.61, 1 Ho 3.61
Y 0.6366 0.6366 0.1824  7 Y 3.55-3.58, 3 Ho 3.55-3.56, 2 Ce 3.57
Y 0.8192 0.8192 0.0917  8 Y 3.55-3.59, 1 Ce 3.55, 3 Ho 3.58
Y 0.9087 0.9087 0.5456  3 Ho 3.54-3.57, 8 Y 3.56-3.59, 1 Ce 3.57
Ho 0.2716 0.2716 0.3641  10 Y 3.54-3.61, 2 Ho 3.54
Ho 0.7284 0.7284 0.6359  10 Y 3.54-3.61, 2 Ho 3.54

Computed properties:
Energy of formation from the pure elements ... 4.3 kJ per mole of atoms
Fermi-level density of states ... 1.70 states/eV/atom
Volume ... 352.8 Å³ per cell
Symmetry ... No. 12

5.
## Ac6Pb2NO (PBE)

Data for a geometry-optimized Ac6Pb2NO structure.

a = 7.5477 Å, b = 7.5477 Å, c = 7.5477 Å
α = 119.95°, β = 119.95°, γ = 90.08°
With the nearest neighbours (Å) after each atom.
Element x y z (fractional)
Ac 0.2481 0.2481 0.0000  1 N 2.65, 1 O 2.69
Ac 0.2480 0.2480 0.4960  1 N 2.65, 1 O 2.69
Ac 0.2480 0.7520 0.0000  1 N 2.65, 1 O 2.69
Ac 0.7520 0.2480 0.0000  1 N 2.65, 1 O 2.69
Ac 0.7519 0.7519 0.0000  1 N 2.65, 1 O 2.69
Ac 0.7520 0.7520 0.5040  1 N 2.65, 1 O 2.69
Pb 0.2500 0.7500 0.5000  12 Ac 3.77-3.78
Pb 0.7500 0.2500 0.5000  12 Ac 3.77-3.78
N 0.0000 0.0000 0.0000  6 Ac 2.65
O 0.5000 0.5000 0.0000  6 Ac 2.69

Computed properties:
Fermi-level density of states ... 0.59 states/eV/atom
Volume ... 304.2 Å³ per cell
E_tot ... -5.54 eV per atom
Symmetry ... No. 139

6.
## FeNi2Ir (PBE)

Data for a geometry-optimized FeNi2Ir structure.

a = 5.2429 Å, b = 5.2429 Å, c = 5.2429 Å
α = 103.13°, β = 103.13°, γ = 123.06°
With the nearest neighbours (Å) after each atom.
Element x y z (fractional)
Fe 0.0000 0.0000 0.0000  4 Ni 2.32, 2 Ir 2.50
Fe 0.7500 0.2500 0.5000  4 Ni 2.32, 2 Ir 2.50
Ni 0.1099 0.6250 0.9849  2 Fe 2.32, 2 Ir 2.46, 2 Ni 2.51
Ni 0.3750 0.3599 0.4849  2 Fe 2.32, 2 Ir 2.46, 2 Ni 2.51
Ni 0.6401 0.1250 0.0151  2 Fe 2.32, 2 Ir 2.46, 2 Ni 2.51
Ni 0.8750 0.8901 0.5151  2 Fe 2.32, 2 Ir 2.46, 2 Ni 2.51
Ir 0.2500 0.7500 0.5000  4 Ni 2.46, 2 Fe 2.50
Ir 0.5000 0.5000 0.0000  4 Ni 2.46, 2 Fe 2.50

Computed properties:
Energy of formation from the pure elements ... 45.9 kJ per mole of atoms
Fermi-level density of states ... 1.30 states/eV/atom
Volume ... 106.2 Å³ per cell
Symmetry ... No. 122

7.
## YMg4 (PBE)

Data for a geometry-optimized YMg4 structure.

a = 5.5787 Å, b = 5.5787 Å, c = 5.5787 Å
α = 101.51°, β = 101.51°, γ = 126.94°
With the nearest neighbours (Å) after each atom.
Element x y z (fractional)
Y 0.0000 0.0000 0.0000  12 Mg 3.32-3.33
Mg 0.1986 0.4282 0.6268  7 Mg 2.98-3.26, 3 Y 3.32-3.33
Mg 0.4282 0.8014 0.2297  7 Mg 2.98-3.26, 3 Y 3.32-3.33
Mg 0.5718 0.1986 0.7703  7 Mg 2.98-3.26, 3 Y 3.32-3.33
Mg 0.8014 0.5718 0.3732  7 Mg 2.98-3.26, 3 Y 3.32-3.33

Computed properties:
Energy of formation from the pure elements ... -1.9 kJ per mole of atoms
Fermi-level density of states ... 0.58 states/eV/atom
Volume ... 124.2 Å³ per cell
Symmetry ... No. 87

8.
## ZrV2ZnIr (PBE)

Data for a geometry-optimized ZrV2ZnIr structure.

a = 4.4135 Å, b = 4.4135 Å, c = 4.8953 Å
α = 90.00°, β = 90.00°, γ = 90.00°
With the nearest neighbours (Å) after each atom.
Element x y z (fractional)
Zr 0.0000 0.0000 0.0000  2 Zn 2.45
V 0.0000 0.5000 0.5000  2 Zn 2.21
V 0.5000 0.0000 0.5000  2 Zn 2.21
Zn 0.0000 0.0000 0.5000  4 V 2.21, 2 Zr 2.45
Ir 0.5000 0.5000 0.0000  4 Zr 3.12, 8 V 3.30

Computed properties:
Energy of formation from the pure elements ... 107.4 kJ per mole of atoms
Fermi-level density of states ... 1.48 states/eV/atom
Volume ... 95.4 Å³ per cell
Symmetry ... No. 123

- Which formula does entry 7 have?
  YMg4